The following is a PBE calculation of Pm3SmYTh after structural relaxation, from Alexandria via LeMat-Bulk.

```
12
Lattice="5.1250 0.0000 0.0000 0.0000 8.0184 -1.1835 0.0000 -3.3931 10.3323" Properties=species:S:1:pos:R:3 pbc="T T T"
Pm 1.2812 -2.1722 9.7169
Pm 1.2812 3.4740 3.9732
Pm 1.2812 2.2546 7.4821
Pm 3.8437 1.1513 5.1756
Pm 3.8437 2.3707 1.6668
Pm 3.8437 6.7975 -0.5681
Th 1.2812 4.5691 0.5184
Th 3.8437 0.0562 8.6305
Y 3.8437 5.7329 2.8078
Y 1.2812 -1.1076 6.3410
Sm 1.2812 -0.0116 2.8664
Sm 3.8437 4.6368 6.2824
```

Results
- Final energy: -32.670 eV/f.u.


The following is a PBE calculation of LaAgBi2 after structural relaxation, from Alexandria via LeMat-Bulk.

```
4
Lattice="-0.7986 -3.3373 0.9271 2.0820 -1.7569 2.2834 -5.7181 2.1523 9.6366" Properties=species:S:1:pos:R:3 pbc="T T T"
Bi -0.5320 -3.9568 5.7410
Bi -3.9027 1.0149 7.1061
La 0.0000 0.0000 0.0000
Ag -2.2174 -1.4710 6.4236
```

Results
- Final energy: -15.218 eV/f.u.


The following is a PBE calculation of Sb2S3I after structural relaxation, from Alexandria via LeMat-Bulk.

```
12
Lattice="-1.6446 -3.1110 2.4255 5.5392 -5.9589 -7.6527 3.7429 4.3304 8.0922" Properties=species:S:1:pos:R:3 pbc="T T T"
I 1.1885 -1.3785 -0.9622
I 6.4490 -3.3610 3.8272
S 4.9260 -5.3015 0.3056
S 2.7115 0.5620 2.5594
S 3.9400 -0.5709 5.7047
S 4.4717 -1.6196 0.9546
S 3.1658 -3.1199 1.9104
S 3.6975 -4.1686 -2.8397
Sb 2.2004 -4.6345 -0.6869
Sb 5.4371 -0.1050 3.5518
Sb 1.2223 -1.6171 2.5201
Sb 6.4152 -3.1224 0.3449
```

Results
- Polymorph energy (0 for the lowest one): 0.000 eV/atom
- ΔE_f (raw): -123 meV per atom


Short version: magnetization = 0.00; 0.00; 0.00 μB/atom, in the order given.
Short version: calculated volume = 33.668; 30.705; 30.470 Å³/atom, in the order given.